[1]
Here is La8Pr6Pu after structural relaxation from the Alexandria database. Energies are from PBE.

Total magnetic moment (μB per formula unit): 5.71
Raw total energy (eV per cell): -78.98
ΔH_f (0 K) (eV/atom): 0.230

abc: 9.018 9.018 9.018
angles: 63.90 63.90 63.90
Sites, in units of the cell vectors:
La 0.832 0.412 0.132
La 0.758 0.758 0.758
La 0.168 0.588 0.868
La 0.132 0.832 0.412
La 0.412 0.132 0.832
La 0.868 0.168 0.588
La 0.588 0.868 0.168
La 0.242 0.242 0.242
Pr 0.909 0.641 0.342
Pr 0.658 0.091 0.359
Pr 0.091 0.359 0.658
Pr 0.359 0.658 0.091
Pr 0.641 0.342 0.909
Pr 0.342 0.909 0.641
Pu 0.000 0.000 0.000

=====

[2]
Here is La2PrPu after structural relaxation from the Alexandria database. Energies are from PBE.

Total magnetic moment (μB per formula unit): 6.35
Raw total energy (eV per cell): -27.93
E above lowest polymorph (eV/atom): 0.152
ΔH_f (0 K) (eV/atom): 0.260

abc: 3.561 3.561 12.783
angles: 81.99 81.99 60.00
Sites, in units of the cell vectors:
Pu 0.000 0.000 0.000
La 0.085 0.085 0.745
La 0.915 0.915 0.255
Pr 0.500 0.500 0.500

=====

[3]
Here is LaPrPu after structural relaxation from the Alexandria database. Energies are from PBE.

Total magnetic moment (μB per formula unit): 5.59
Raw total energy (eV per cell): -23.27
E above lowest polymorph (eV/atom): 0.128
ΔH_f (0 K) (eV/atom): 0.257

abc: 3.361 5.834 5.834
angles: 120.00 90.00 90.00
Sites, in units of the cell vectors:
La 0.166 0.000 0.000
Pu 0.667 0.333 0.667
Pr 0.167 0.667 0.333

=====

[4]
Here is La2PrPu after structural relaxation from the Alexandria database. Energies are from PBE.

Total magnetic moment (μB per formula unit): 7.42
Raw total energy (eV per cell): -28.27
E above lowest polymorph (eV/atom): 0.066
ΔH_f (0 K) (eV/atom): 0.175

abc: 3.789 5.999 5.999
angles: 90.00 90.00 90.00
Sites, in units of the cell vectors:
La 0.000 0.000 0.500
La 0.000 0.500 0.000
Pu 0.500 0.000 0.000
Pr 0.500 0.500 0.500

=====

[5]
Here is La3Pr8Pu after structural relaxation from the Alexandria database. Energies are from PBE.

Total magnetic moment (μB per formula unit): 5.16
Raw total energy (eV per cell): -61.65
ΔH_f (0 K) (eV/atom): 0.475

abc: 8.612 8.612 8.612
angles: 94.60 117.38 117.38
Sites, in units of the cell vectors:
Pr 0.000 0.258 0.788
Pr 0.000 0.641 0.886
Pr 0.000 0.886 0.641
Pr 0.755 0.114 0.114
Pr 0.000 0.788 0.258
Pr 0.245 0.359 0.359
Pr 0.470 0.212 0.212
Pr 0.530 0.742 0.742
Pu 0.000 0.000 0.000
La 0.000 0.500 0.500
La 0.500 0.750 0.250
La 0.500 0.250 0.750

=====

[6]
Here is LaPr14Pu after structural relaxation from the Alexandria database. Energies are from PBE.

Total magnetic moment (μB per formula unit): 6.85
Raw total energy (eV per cell): -85.50
ΔH_f (0 K) (eV/atom): 0.042

abc: 7.391 7.391 10.449
angles: 90.00 90.00 89.99
Sites, in units of the cell vectors:
Pr 0.376 0.126 0.500
Pr 0.122 0.878 0.248
Pr 0.628 0.878 0.247
Pr 0.628 0.372 0.754
Pr 0.375 0.625 0.500
Pr 0.874 0.624 0.500
Pr 0.628 0.372 0.246
Pr 0.122 0.372 0.247
Pr 0.875 0.125 0.500
Pr 0.876 0.626 0.000
Pr 0.122 0.878 0.752
Pr 0.628 0.878 0.753
Pr 0.374 0.124 0.000
Pr 0.122 0.372 0.753
La 0.375 0.625 0.000
Pu 0.875 0.125 0.000

=====

[7]
Here is LaPrPu after structural relaxation from the Alexandria database. Energies are from PBE.

Total magnetic moment (μB per formula unit): 6.14
Raw total energy (eV per cell): -23.65
E above lowest polymorph (eV/atom): 0.000
ΔH_f (0 K) (eV/atom): 0.129

abc: 3.607 3.607 8.103
angles: 102.86 102.86 90.00
Sites, in units of the cell vectors:
Pr 0.662 0.662 0.323
Pu 0.000 0.000 0.000
La 0.338 0.338 0.677

=====

[8]
Here is La7Pr12Pu after structural relaxation from the Alexandria database. Energies are from PBE.

Total magnetic moment (μB per formula unit): 7.05
Raw total energy (eV per cell): -94.58
ΔH_f (0 K) (eV/atom): 0.580

abc: 10.045 10.045 10.045
angles: 109.47 109.47 109.47
Sites, in units of the cell vectors:
Pr 0.274 0.788 0.062
Pr 0.212 0.486 0.274
Pr 0.274 0.212 0.486
Pr 0.726 0.212 0.938
Pr 0.938 0.726 0.212
Pr 0.726 0.788 0.514
Pr 0.788 0.062 0.274
Pr 0.788 0.514 0.726
Pr 0.486 0.274 0.212
Pr 0.212 0.938 0.726
Pr 0.062 0.274 0.788
Pr 0.514 0.726 0.788
La 0.000 0.500 0.000
La 0.000 0.000 0.500
La 0.500 0.000 0.000
La 0.000 0.500 0.500
La 0.500 0.000 0.500
La 0.500 0.500 0.000
La 0.500 0.500 0.500
Pu 0.000 0.000 0.000

=====

- What is the formula in the third record?
  LaPrPu

=====

- Which value of ΔH_f (0 K) does entry 5 give?
  0.475 eV/atom